Entry 1:
The following is a DFT calculation (PBE) of an optimized crystal structure of NaZnReP.

The structure belongs to space group P4/nmm (No. 129, origin choice 2); the cell edges are 3.806, 3.806 and 11.482 Å and the angles 90.00°, 90.00° and 90.00°. The inequivalent atoms are Na at (0.250, 0.250, 0.243), Zn at (0.250, 0.750, 0.000), Re at (0.250, 0.750, 0.500) and P at (0.250, 0.250, 0.633).

As for the formation energy: -0.08 eV/atom. Its total magnetization is 0.0 Bohr magnetons per cell. The value obtained for the total energy is -5.188 eV per atom.

Entry 2:
The following is a DFT calculation (PBE) of an optimized crystal structure of NaZrRe2P.

The structure belongs to space group P4/mmm (No. 123); the cell edges are 4.445, 4.445 and 4.937 Å and the angles 90.00°, 90.00° and 90.00°. The inequivalent atoms are Na at (0.000, 0.000, 0.000), Zr at (0.500, 0.500, 0.000), Re at (0.000, 0.500, 0.500) and P at (0.500, 0.500, 0.500).

As for the formation energy: 0.63 eV/atom. Its total magnetization is 0.0 Bohr magnetons per cell. The value obtained for the total energy is -7.406 eV per atom.

Entry 3:
The following is a DFT calculation (PBE) of an optimized crystal structure of NaP2Rh3.

The structure belongs to space group P6/mmm (No. 191); the cell edges are 9.2876, 9.2876 and 3.7422 Å and the angles 90.00°, 90.00° and 120.00°. The inequivalent atoms are Na at (0.0000, 0.0000, 0.0000), Na at (0.3333, 0.6667, 0.5000), P at (0.1938, 0.3877, 0.0000), Rh at (0.0000, 0.2851, 0.5000) and Rh at (0.0000, 0.5000, 0.0000).

As for the formation energy: -0.40 eV/atom. Its total magnetization is 0.0 Bohr magnetons per cell. The value obtained for the total energy is -6.095 eV per atom.

Entry 4:
The following is a DFT calculation (PBE) of an optimized crystal structure of NaPRh2.

The structure belongs to space group I-42d (No. 122); the cell edges are 7.056, 7.056 and 5.654 Å and the angles 90.00°, 90.00° and 90.00°. The inequivalent atoms are Na at (0.000, 0.000, 0.000), P at (0.000, 0.000, 0.500) and Rh at (0.156, 0.250, 0.625).

As for the formation energy: -0.24 eV/atom. Its total magnetization is 0.0 Bohr magnetons per cell. The value obtained for the total energy is -5.598 eV per atom.

Entry 5:
The following is a DFT calculation (PBE) of an optimized crystal structure of NaP2Rh.

The structure belongs to space group I-42d (No. 122); the cell edges are 6.417, 6.417 and 9.157 Å and the angles 90.00°, 90.00° and 90.00°. The inequivalent atoms are Na at (0.000, 0.000, 0.000), P at (0.163, 0.250, 0.625) and Rh at (0.000, 0.000, 0.500).

Its energy above the lowest structure with this stoichiometry is 0.0304 eV per atom. As for the formation energy: -0.13 eV/atom. Its total magnetization is 0.0 Bohr magnetons per cell. The value obtained for the total energy is -5.004 eV per atom.

Entry 6:
The following is a DFT calculation (PBE) of an optimized crystal structure of NaP2Rh.

The structure belongs to space group R-3m (No. 166, hexagonal axes); the cell edges are 4.0329, 4.0329 and 19.9823 Å and the angles 90.00°, 90.00° and 120.00°. The inequivalent atoms are Na at (0.0000, 0.0000, 0.0000), P at (0.0000, 0.0000, 0.1355) and Rh at (0.0000, 0.0000, 0.5000).

Its energy above the lowest structure with this stoichiometry is 0.0000 eV per atom. As for the formation energy: -0.16 eV/atom. Its total magnetization is 0.0 Bohr magnetons per cell. The value obtained for the total energy is -5.034 eV per atom.

Entry 7:
The following is a DFT calculation (PBE) of an optimized crystal structure of NaP4Rh6.

The structure belongs to space group P-6m2 (No. 187); the cell edges are 7.0629, 7.0629 and 3.6035 Å and the angles 90.00°, 90.00° and 120.00°. The inequivalent atoms are Na at (0.0000, 0.0000, 0.0000), P at (0.3333, 0.6667, 0.0000), P at (0.3742, 0.1871, 0.5000), Rh at (0.1975, 0.3949, 0.5000) and Rh at (0.5355, 0.0710, 0.0000).

As for the formation energy: -0.70 eV/atom. Its total magnetization is 0.0 Bohr magnetons per cell. The value obtained for the total energy is -6.798 eV per atom.

Entry 8:
The following is a DFT calculation (PBE) of an optimized crystal structure of NaPRh3.

The structure belongs to space group Pm-3m (No. 221); the cell edges are 4.458, 4.458 and 4.458 Å and the angles 90.00°, 90.00° and 90.00°. The inequivalent atoms are Na at (0.000, 0.000, 0.000), P at (0.500, 0.500, 0.500) and Rh at (0.000, 0.000, 0.500).

Its energy above the lowest structure with this stoichiometry is 1.9207 eV per atom. As for the formation energy: 1.80 eV/atom. Its total magnetization is 0.7 Bohr magnetons per cell. The value obtained for the total energy is -3.959 eV per atom.